Li3H8Ir2 | PBE-GGA | relaxed

Cell lengths 7.0511, 5.4994, 5.4994 Å; angles 61.00, 53.19, 53.19 degrees
Last column: nearest neighbours and their distance in Å.
Sites, in units of the cell vectors:
Li1 0.5000 0.0000 0.0000  6 H 2.01-2.18
Li2 0.0000 0.2487 0.7513  6 H 1.97-2.07
Li3 0.0000 0.7513 0.2487  6 H 1.97-2.07
H1 0.8025 0.7056 0.7056  1 Ir 1.71
H2 0.1975 0.2944 0.2944  1 Ir 1.71
H3 0.8086 0.2054 0.2054  1 Ir 1.68
H4 0.1914 0.7946 0.7946  1 Ir 1.68
H5 0.8081 0.6581 0.1556  2 Ir 1.76-1.81
H6 0.8081 0.1556 0.6581  2 Ir 1.76-1.81
H7 0.1919 0.8444 0.3419  2 Ir 1.76-1.81
H8 0.1919 0.3419 0.8444  2 Ir 1.76-1.81
Ir1 0.0047 0.2463 0.2463  6 H 1.68-1.81
Ir2 0.9953 0.7537 0.7537  6 H 1.68-1.81

Results
**SG**: C2/m, No. 12
**Calculated volume**: 134.03 Å³ per cell
**E_tot**: -4.144 eV per atom